# 1
18
Lattice="6.892 0.000 0.007 0.000 7.405 0.000 -0.851 0.000 10.375" Properties=species:S:1:pos:R:3 comment="Nd6Ir2Pd (PBE-GGA, relaxed)" n_ef_per_ev_atom=1.07 space_group="No. 14" pbc="T T T"
Nd 5.499 6.991 2.528
Nd 4.078 1.355 5.903
Nd 1.963 6.050 4.479
Nd 5.140 4.960 6.087
Nd 2.120 6.148 0.896
Nd 4.414 3.288 2.670
Nd 4.983 5.058 9.669
Nd 1.058 2.347 0.712
Ir 0.136 4.552 2.288
Ir 3.157 6.556 7.479
Pd 3.446 3.703 0.003
Pd -0.426 0.000 5.187
Ir 5.905 2.853 8.093
Nd 0.901 2.446 4.294
Ir 2.884 0.849 2.903
Nd 0.542 0.415 7.854
Nd 1.627 4.117 7.712
Nd 3.921 1.257 9.485

***

# 2
4
Lattice="-0.787 0.102 5.101 0.401 -4.134 0.144 4.088 0.418 0.623" Properties=species:S:1:pos:R:3 comment="U2ZnBi (PBE-GGA, relaxed)" n_ef_per_ev_atom=1.71 space_group="No. 123" pbc="T T T"
Bi -0.394 0.051 2.550
U 2.044 0.209 0.311
U 0.200 -2.067 0.072
Zn 1.851 -1.807 2.934

***

no.,DFT formation energy (meV/atom)
1,-489
2,195